1.
This record from Alexandria via LeMat-Bulk describes PmTmBe2Si2 after structural relaxation. The functional is PBE-GGA. Values from VASP.

Results
Its crystal system is trigonal. The space group is P-3m1, No. 164. The calculation puts the formation energy (no corrections) at -0.6347 eV/atom.

Structure (Quantum ESPRESSO input):
```
&SYSTEM
  ibrav = 0, nat = 6, ntyp = 4
/
ATOMIC_SPECIES
Tm 168.93 Tm.upf
Si 28.09 Si.upf
Pm 145.00 Pm.upf
Be 9.01 Be.upf
CELL_PARAMETERS angstrom
-3.7076 1.1393 0.2083
0.8655 -3.7850 -0.1091
0.4146 -0.1399 8.1443
ATOMIC_POSITIONS angstrom
Tm 0.2073 -0.0700 4.0722
Si -1.8764 -0.6057 6.1287
Si -0.5510 -2.1800 2.1149
Pm 0.0000 0.0000 0.0000
Be -0.3519 -2.2472 6.0257
Be -2.0755 -0.5385 2.2179
```



2.
This record from Alexandria via LeMat-Bulk describes PmTmBeSi after structural relaxation. The functional is PBE-GGA. Values from VASP.

Results
Its crystal system is cubic. The space group is F-43m, No. 216. The calculation puts the formation energy (no corrections) at -0.2058 eV/atom.

Structure (Quantum ESPRESSO input):
```
&SYSTEM
  ibrav = 0, nat = 4, ntyp = 4
/
ATOMIC_SPECIES
Pm 145.00 Pm.upf
Be 9.01 Be.upf
Si 28.09 Si.upf
Tm 168.93 Tm.upf
CELL_PARAMETERS angstrom
4.9048 0.0000 0.0000
2.4524 4.2477 0.0000
2.4524 1.4159 4.0048
ATOMIC_POSITIONS angstrom
Pm 0.0000 0.0000 0.0000
Be 2.4524 1.4159 1.0012
Si 7.3573 4.2477 3.0036
Tm 4.9048 2.8318 2.0024
```



3.
This record from Alexandria via LeMat-Bulk describes Pm2Be4ZnSi3 after structural relaxation. The functional is PBE-GGA. Values from VASP.

Results
Its crystal system is tetragonal. The space group is P-4m2, No. 115. The calculation puts the formation energy (no corrections) at -0.3997 eV/atom.

Structure (Quantum ESPRESSO input):
```
&SYSTEM
  ibrav = 0, nat = 10, ntyp = 4
/
ATOMIC_SPECIES
Be 9.01 Be.upf
Pm 145.00 Pm.upf
Zn 65.41 Zn.upf
Si 28.09 Si.upf
CELL_PARAMETERS angstrom
-1.4461 3.0017 2.1016
-2.9513 -2.2932 1.2447
5.3710 -2.7638 7.6434
ATOMIC_POSITIONS angstrom
Be 0.0000 0.0000 0.0000
Be 2.6863 -0.2535 5.9026
Be 0.4860 -2.1561 3.4140
Be -2.1987 0.3543 1.6731
Pm 0.6034 0.8183 2.9385
Pm 2.5689 -3.2279 6.3781
Zn 0.4868 -1.0277 5.4948
Si 3.9468 -0.9022 7.6964
Si -0.7745 -1.5074 1.6201
Si 2.6855 -1.3819 3.8217
```



4.
This record from Alexandria via LeMat-Bulk describes PmSm2Be after structural relaxation. The functional is PBE-GGA. Values from VASP.

Results
Its crystal system is trigonal. As for the formation energy from the elements: 703 meV per atom. The space group is R-3m, No. 166. The value obtained for the offset from the most stable computed form is 604 meV/atom.

Structure (Quantum ESPRESSO input):
```
&SYSTEM
  ibrav = 0, nat = 4, ntyp = 3
/
ATOMIC_SPECIES
Be 9.01 Be.upf
Sm 150.36 Sm.upf
Pm 145.00 Pm.upf
CELL_PARAMETERS angstrom
3.5024 0.0000 0.0000
1.7512 3.0332 0.0000
1.7512 1.0111 11.6481
ATOMIC_POSITIONS angstrom
Be 0.0000 0.0000 0.0000
Sm 5.2536 3.0332 2.9226
Sm 1.7512 1.0111 8.7254
Pm 3.5024 2.0221 5.8240
```